Below is a relaxed SrTeRu crystal, with properties calculated at the GGA-PBE level.

Results
Its space group is I4mm. As for the raw formation energy: -0.16 eV/atom. Its total energy is -14.59 eV per formula unit. The calculation puts the energy above the most stable polymorph in this dataset at 0.75 eV/f.u.

Cell lengths 3.5291, 3.5291, 11.8117 Å; angles 90.00, 90.00, 90.00 degrees
Fractional coordinates of all 6 atoms:
Sr (0.0000, 0.0000, 0.0000)
Sr (0.5000, 0.5000, 0.5000)
Te (0.0000, 0.0000, 0.7143)
Te (0.5000, 0.5000, 0.2143)
Ru (0.0000, 0.0000, 0.3092)
Ru (0.5000, 0.5000, 0.8092)